# 1
PmSm2Zn | Alexandria via LeMat-Bulk | PBE | optimized geometry; space group = Fm-3m, No. 225; E above lowest polymorph = 221 meV per atom; magnetization = 0.0 μB/f.u.; energy of formation = 0.066 eV per atom; crystal system = cubic; E_tot = -3.799 eV/atom
1.0
-0.9057 4.8083 -2.3831
-5.0407 2.0447 -0.1731
-1.2822 4.3381 3.0258
Sm Pm Zn
2 1 1
Direct
0.7500 0.7500 0.7500 Sm
0.2500 0.2500 0.2500 Sm
0.5000 0.5000 0.5000 Pm
0.0000 0.0000 0.0000 Zn


# 2
Pm2SmZr | Alexandria via LeMat-Bulk | PBE | optimized geometry; space group = P4/mmm, No. 123; E above lowest polymorph = 63 meV per atom; magnetization = 0.0 μB/f.u.; energy of formation = 0.178 eV per atom; crystal system = tetragonal; E_tot = -5.514 eV/atom
1.0
4.0822 0.0000 0.0000
0.0000 4.0822 0.0000
0.0000 0.0000 7.3794
Pm Sm Zr
2 1 1
Direct
0.0000 0.0000 0.7781 Pm
0.0000 0.0000 0.2219 Pm
0.5000 0.5000 0.5000 Sm
0.5000 0.5000 0.0000 Zr


# 3
PmSm2Zr | Alexandria via LeMat-Bulk | PBE | optimized geometry; space group = P4/mmm, No. 123; E above lowest polymorph = 18 meV per atom; magnetization = 0.0 μB/f.u.; energy of formation = 0.127 eV per atom; crystal system = tetragonal; E_tot = -5.557 eV/atom
1.0
4.9626 0.0000 0.0000
0.0000 4.9495 0.0000
0.0000 0.0000 4.9495
Pm Sm Zr
1 2 1
Direct
0.5000 0.5000 0.5000 Pm
0.0000 0.5000 0.0000 Sm
0.0000 0.0000 0.5000 Sm
0.5000 0.0000 0.0000 Zr


# 4
Pm2SmZr | Alexandria via LeMat-Bulk | PBE | optimized geometry; space group = R-3m, No. 166; E above lowest polymorph = 207 meV per atom; magnetization = 0.0 μB/f.u.; energy of formation = 0.323 eV per atom; crystal system = trigonal; E_tot = -5.369 eV/atom
1.0
3.4235 0.0000 0.0000
1.7117 2.9648 0.0000
1.7117 0.9883 12.1948
Zr Sm Pm
1 1 2
Direct
0.0000 0.0000 0.0000 Zr
0.5000 0.5000 0.5000 Sm
0.9150 0.9150 0.2551 Pm
0.0850 0.0850 0.7449 Pm


# 5
PmSmZr | Alexandria via LeMat-Bulk | PBE | optimized geometry; space group = Cm, No. 8; E above lowest polymorph = 83 meV per atom; magnetization = 0.0 μB/f.u.; energy of formation = 0.194 eV per atom; crystal system = monoclinic; E_tot = -5.812 eV/atom
1.0
5.6196 1.3072 0.8188
3.9397 4.2152 0.8188
3.9049 2.2558 10.4275
Sm Zr Pm
2 2 2
Direct
0.3424 0.3424 0.9321 Sm
0.1779 0.1779 0.7582 Sm
0.7401 0.7401 0.2134 Zr
0.5331 0.5331 0.0796 Zr
0.9155 0.9155 0.3770 Pm
0.5505 0.5505 0.5618 Pm


# 6
Pm3Sm12Zr | Alexandria via LeMat-Bulk | PBE | optimized geometry; space group = P4/mmm, No. 123; magnetization = 0.0 μB/f.u.; energy of formation = 0.042 eV per atom; crystal system = tetragonal; E_tot = -4.923 eV/atom
1.0
5.0929 0.0000 0.0000
0.0000 5.0929 0.0000
0.0000 0.0000 20.3480
Sm Pm Zr
12 3 1
Direct
0.5000 0.0000 0.6273 Sm
0.5000 0.5000 0.2459 Sm
0.5000 0.5000 0.0000 Sm
0.0000 0.5000 0.3727 Sm
0.0000 0.5000 0.8831 Sm
0.0000 0.5000 0.6273 Sm
0.5000 0.0000 0.8831 Sm
0.5000 0.5000 0.5000 Sm
0.0000 0.5000 0.1169 Sm
0.5000 0.5000 0.7541 Sm
0.5000 0.0000 0.1169 Sm
0.5000 0.0000 0.3727 Sm
0.0000 0.0000 0.7534 Pm
0.0000 0.0000 0.5000 Pm
0.0000 0.0000 0.2466 Pm
0.0000 0.0000 0.0000 Zr


# 7
PmSm2Zr | Alexandria via LeMat-Bulk | PBE | optimized geometry; space group = P4/mmm, No. 123; E above lowest polymorph = 71 meV per atom; magnetization = 0.0 μB/f.u.; energy of formation = 0.180 eV per atom; crystal system = tetragonal; E_tot = -5.504 eV/atom
1.0
-3.0336 -1.7355 2.0968
2.5653 -0.7734 3.0712
-1.6462 6.5239 3.0180
Pm Sm Zr
1 2 1
Direct
0.5000 0.5000 0.5000 Pm
0.0000 0.0000 0.2209 Sm
0.0000 0.0000 0.7791 Sm
0.5000 0.5000 0.0000 Zr


# 8
PmSmZr | Alexandria via LeMat-Bulk | PBE | optimized geometry; space group = I4mm, No. 107; E above lowest polymorph = 0 meV per atom; magnetization = 0.0 μB/f.u.; energy of formation = 0.111 eV per atom; crystal system = tetragonal; E_tot = -5.895 eV/atom
1.0
3.4284 0.0000 0.0000
0.0000 3.4284 0.0000
-1.7142 -1.7142 7.5823
Pm Sm Zr
1 1 1
Direct
0.6779 0.6779 0.3557 Pm
0.9882 0.9882 0.9764 Sm
0.3339 0.3339 0.6679 Zr


# 9
Pm6Sm8Zr | Alexandria via LeMat-Bulk | PBE | optimized geometry; space group = R-3, No. 148; magnetization = 0.0 μB/f.u.; energy of formation = 0.129 eV per atom; crystal system = trigonal; E_tot = -4.858 eV/atom
1.0
7.8605 0.0870 3.7479
2.4007 7.4855 3.7479
0.1178 0.0870 8.7075
Pm Sm Zr
6 8 1
Direct
0.1031 0.5447 0.2299 Pm
0.5447 0.2299 0.1031 Pm
0.2299 0.1031 0.5447 Pm
0.7701 0.8969 0.4553 Pm
0.4553 0.7701 0.8969 Pm
0.8969 0.4553 0.7701 Pm
0.4229 0.4229 0.4229 Sm
0.2458 0.8881 0.2800 Sm
0.7200 0.7542 0.1119 Sm
0.7542 0.1119 0.7200 Sm
0.1119 0.7200 0.7542 Sm
0.2800 0.2458 0.8881 Sm
0.5771 0.5771 0.5771 Sm
0.8881 0.2800 0.2458 Sm
0.0000 0.0000 0.0000 Zr


# 10
PmSm2Zr | Alexandria via LeMat-Bulk | PBE | optimized geometry; space group = R-3m, No. 166; E above lowest polymorph = 214 meV per atom; magnetization = 0.0 μB/f.u.; energy of formation = 0.324 eV per atom; crystal system = trigonal; E_tot = -5.361 eV/atom
1.0
-2.2483 -2.0660 -1.5356
-0.7008 -3.0633 1.3440
-9.9901 3.2245 6.4854
Pm Sm Zr
1 2 1
Direct
0.5000 0.5000 0.5000 Pm
0.9150 0.9150 0.2549 Sm
0.0850 0.0850 0.7451 Sm
0.0000 0.0000 0.0000 Zr


# 11
PmSm2Zr | Alexandria via LeMat-Bulk | PBE | optimized geometry; space group = R3m, No. 160; E above lowest polymorph = 0 meV per atom; magnetization = 0.0 μB/f.u.; energy of formation = 0.109 eV per atom; crystal system = trigonal; E_tot = -5.575 eV/atom
1.0
-3.0881 1.1851 1.1674
-1.2115 -1.0418 3.1226
3.8622 8.9101 6.4412
Sm Pm Zr
2 1 1
Direct
0.0776 0.0776 0.7673 Sm
0.2561 0.2561 0.2318 Sm
0.4995 0.4995 0.5016 Pm
0.6669 0.6669 0.9993 Zr


# 12
PmSmZr | Alexandria via LeMat-Bulk | PBE | optimized geometry; space group = P-6m2, No. 187; E above lowest polymorph = 63 meV per atom; magnetization = 0.0 μB/f.u.; energy of formation = 0.175 eV per atom; crystal system = hexagonal; E_tot = -5.831 eV/atom
1.0
3.4115 0.0000 0.0000
0.0000 5.4739 0.0000
0.0000 -2.7370 4.7406
Sm Pm Zr
1 1 1
Direct
0.6666 0.6667 0.3333 Sm
0.1662 0.0000 0.0000 Pm
0.1671 0.3333 0.6667 Zr


# 13
PmSm2Zr | Alexandria via LeMat-Bulk | PBE | optimized geometry; space group = Fm-3m, No. 225; E above lowest polymorph = 136 meV per atom; magnetization = 1.4 μB/f.u.; energy of formation = 0.245 eV per atom; crystal system = cubic; E_tot = -5.439 eV/atom
1.0
-4.9193 1.6539 2.0243
-1.5640 -1.5379 5.1207
-0.2009 3.7661 4.0998
Sm Pm Zr
2 1 1
Direct
0.7500 0.7500 0.7500 Sm
0.2500 0.2500 0.2500 Sm
0.0000 0.0000 0.0000 Pm
0.5000 0.5000 0.5000 Zr


# 14
Pm2SmZr | Alexandria via LeMat-Bulk | PBE | optimized geometry; space group = R3m, No. 160; E above lowest polymorph = 0 meV per atom; magnetization = 0.0 μB/f.u.; energy of formation = 0.116 eV per atom; crystal system = trigonal; E_tot = -5.576 eV/atom
1.0
3.5130 0.0000 0.0000
1.7565 3.0423 0.0000
1.7565 1.0141 11.4916
Pm Sm Zr
2 1 1
Direct
0.2558 0.2558 0.2325 Pm
0.0779 0.0779 0.7664 Pm
0.4993 0.4993 0.5021 Sm
0.6670 0.6670 0.9990 Zr


# 15
Pm2SmZr | Alexandria via LeMat-Bulk | PBE | optimized geometry; space group = P4/mmm, No. 123; E above lowest polymorph = 13 meV per atom; magnetization = 0.0 μB/f.u.; energy of formation = 0.129 eV per atom; crystal system = tetragonal; E_tot = -5.563 eV/atom
1.0
4.9546 0.0000 0.0000
0.0000 4.9652 0.0000
0.0000 0.0000 4.9652
Sm Zr Pm
1 1 2
Direct
0.5000 0.5000 0.5000 Sm
0.5000 0.0000 0.0000 Zr
0.0000 0.5000 0.0000 Pm
0.0000 0.0000 0.5000 Pm


# 16
PmSmZr | Alexandria via LeMat-Bulk | PBE | optimized geometry; space group = Pmmn, No. 59; E above lowest polymorph = 9 meV per atom; magnetization = 0.0 μB/f.u.; energy of formation = 0.120 eV per atom; crystal system = orthorhombic; E_tot = -5.886 eV/atom
1.0
-0.2275 -4.2462 -2.2283
3.3117 0.3373 -0.9791
3.1440 -4.8702 8.9595
Zr Pm Sm
2 2 2
Direct
0.8469 0.7451 0.9791 Zr
0.3469 0.2449 0.8445 Zr
0.8469 0.7447 0.6822 Pm
0.3469 0.2453 0.1414 Pm
0.8469 0.7450 0.3190 Sm
0.3469 0.2446 0.5045 Sm


# 17
Pm2SmZr | Alexandria via LeMat-Bulk | PBE | optimized geometry; space group = Fm-3m, No. 225; E above lowest polymorph = 124 meV per atom; magnetization = 1.2 μB/f.u.; energy of formation = 0.239 eV per atom; crystal system = cubic; E_tot = -5.453 eV/atom
1.0
5.5712 0.0000 0.0000
2.7856 4.8248 0.0000
2.7856 1.6083 4.5488
Pm Zr Sm
2 1 1
Direct
0.2500 0.2500 0.2500 Pm
0.7500 0.7500 0.7500 Pm
0.5000 0.5000 0.5000 Zr
0.0000 0.0000 0.0000 Sm


# 18
PmSmZr | Alexandria via LeMat-Bulk | PBE | optimized geometry; space group = P2_1/m, No. 11; E above lowest polymorph = 42 meV per atom; magnetization = 0.0 μB/f.u.; energy of formation = 0.153 eV per atom; crystal system = monoclinic; E_tot = -5.853 eV/atom
1.0
-2.8117 3.8527 -1.3390
-0.9520 -1.6688 -2.8027
-7.6356 -3.2686 6.6287
Zr Pm Sm
2 2 2
Direct
0.8469 0.7798 0.9802 Zr
0.3469 0.2100 0.8433 Zr
0.3469 0.0424 0.5129 Pm
0.8469 0.9475 0.3106 Pm
0.8469 0.6275 0.6794 Sm
0.3469 0.3624 0.1442 Sm


# 19
Pm5Sn2 | Alexandria via LeMat-Bulk | PBE | optimized geometry; space group = Cmcm, No. 63; E above lowest polymorph = 0 meV per atom; magnetization = 0.0 μB/f.u.; energy of formation = -0.468 eV per atom; crystal system = orthorhombic; E_tot = -5.005 eV/atom
1.0
4.6685 0.0000 -0.4675
0.0000 4.6417 0.0000
-0.3014 0.0000 20.5320
Pm Sn
10 4
Direct
0.4611 0.7500 0.9222 Pm
0.3886 0.2500 0.7773 Pm
0.2497 0.7500 0.4994 Pm
0.0349 0.7500 0.0697 Pm
0.7503 0.2500 0.5006 Pm
0.9651 0.2500 0.9303 Pm
0.5389 0.2500 0.0778 Pm
0.1749 0.2500 0.3497 Pm
0.6114 0.7500 0.2227 Pm
0.8251 0.7500 0.6503 Pm
0.3095 0.2500 0.6189 Sn
0.6905 0.7500 0.3811 Sn
0.0963 0.2500 0.1925 Sn
0.9037 0.7500 0.8075 Sn


# 20
Pm5Sn2 | Alexandria via LeMat-Bulk | PBE | optimized geometry; space group = C2/c, No. 15; E above lowest polymorph = 13 meV per atom; magnetization = 0.0 μB/f.u.; energy of formation = -0.455 eV per atom; crystal system = monoclinic; E_tot = -4.992 eV/atom
1.0
6.1082 0.0000 0.0000
0.0000 8.9271 0.2241
-3.0541 -1.1290 8.0665
Pm Sn
10 4
Direct
0.1781 0.6810 0.5561 Pm
0.6219 0.8190 0.4439 Pm
0.3781 0.1810 0.5561 Pm
0.9322 0.9405 0.2186 Pm
0.0678 0.0595 0.7814 Pm
0.8219 0.3190 0.4439 Pm
0.2885 0.7500 0.0000 Pm
0.7136 0.5595 0.7814 Pm
0.2864 0.4405 0.2186 Pm
0.7115 0.2500 0.0000 Pm
0.7867 0.5890 0.1887 Sn
0.2133 0.4110 0.8113 Sn
0.5980 0.9110 0.8113 Sn
0.4020 0.0890 0.1887 Sn


# 21
Pm3Sn2 | Alexandria via LeMat-Bulk | PBE | optimized geometry; space group = I4_1/amd, No. 141; E above lowest polymorph = 0 meV per atom; magnetization = 0.3 μB/f.u.; energy of formation = -0.585 eV per atom; crystal system = tetragonal; E_tot = -5.036 eV/atom
1.0
5.9269 0.0000 -2.0519
-0.7104 5.8841 -2.0519
-0.1851 -0.2088 9.0510
Sn Pm
4 6
Direct
0.9560 0.9560 0.9120 Sn
0.3088 0.8088 0.6177 Sn
0.7060 0.2060 0.4120 Sn
0.5588 0.5588 0.1177 Sn
0.1325 0.8825 0.2649 Pm
0.7574 0.7574 0.5148 Pm
0.5074 0.0074 0.0148 Pm
0.1325 0.3824 0.2649 Pm
0.6325 0.3825 0.7649 Pm
0.1324 0.3825 0.7649 Pm


# 22
Pm5Sn3 | Alexandria via LeMat-Bulk | PBE | optimized geometry; space group = P6_3/mcm, No. 193; E above lowest polymorph = 0 meV per atom; magnetization = 0.0 μB/f.u.; energy of formation = -0.705 eV per atom; crystal system = hexagonal; E_tot = -5.175 eV/atom
1.0
6.7835 0.0000 0.0000
0.0000 9.2344 0.0000
0.0000 -4.6172 7.9973
Sn Pm
6 10
Direct
0.2500 0.3942 0.0000 Sn
0.7500 0.6058 0.0000 Sn
0.2500 0.0000 0.3942 Sn
0.7500 0.0000 0.6058 Sn
0.7500 0.3942 0.3942 Sn
0.2500 0.6058 0.6058 Sn
0.7500 0.7591 0.7591 Pm
0.0000 0.3333 0.6667 Pm
0.5000 0.3333 0.6667 Pm
0.0000 0.6667 0.3333 Pm
0.2500 0.2409 0.2409 Pm
0.7500 0.2409 0.0000 Pm
0.2500 0.7591 0.0000 Pm
0.2500 0.0000 0.7591 Pm
0.7500 0.0000 0.2409 Pm
0.5000 0.6667 0.3333 Pm


# 23
Pm2Sn | Alexandria via LeMat-Bulk | PBE | optimized geometry; space group = Pnma, No. 62; E above lowest polymorph = 0 meV per atom; magnetization = 0.0 μB/f.u.; energy of formation = -0.604 eV per atom; crystal system = orthorhombic; E_tot = -5.105 eV/atom
1.0
4.9929 0.0000 0.0000
0.0000 6.9452 0.0000
0.0000 0.0000 10.5028
Pm Sn
8 4
Direct
0.7500 0.4240 0.7065 Pm
0.7500 0.9240 0.7935 Pm
0.7500 0.8325 0.4495 Pm
0.7500 0.3325 0.0505 Pm
0.2500 0.5760 0.2935 Pm
0.2500 0.0760 0.2065 Pm
0.2500 0.1675 0.5505 Pm
0.2500 0.6675 0.9495 Pm
0.7500 0.3029 0.3737 Sn
0.2500 0.1971 0.8737 Sn
0.2500 0.6971 0.6263 Sn
0.7500 0.8029 0.1263 Sn


# 24
Pm4Sn3 | Alexandria via LeMat-Bulk | PBE | optimized geometry; space group = C2/m, No. 12; E above lowest polymorph = 292 meV per atom; magnetization = 0.0 μB/f.u.; energy of formation = -0.458 eV per atom; crystal system = monoclinic; E_tot = -4.888 eV/atom
1.0
-4.4719 -1.2857 -0.5152
2.1996 -5.6860 -4.9032
1.6964 -0.5694 7.9667
Pm Sn
4 3
Direct
0.6185 0.9279 0.2369 Pm
0.8714 0.5184 0.7427 Pm
0.3815 0.0721 0.7631 Pm
0.1286 0.4816 0.2573 Pm
0.2391 0.2412 0.4782 Sn
0.7609 0.7588 0.5218 Sn
0.0000 0.0000 0.0000 Sn


# 25
Pm7Sn3 | Alexandria via LeMat-Bulk | PBE | optimized geometry; space group = P6_3mc, No. 186; magnetization = 0.7 μB/f.u.; energy of formation = -0.511 eV per atom; crystal system = hexagonal; E_tot = -5.037 eV/atom
1.0
6.3328 0.0000 0.0000
0.0000 10.8131 0.0000
0.0000 -5.4066 9.3644
Sn Pm
6 14
Direct
0.3753 0.8059 0.1941 Sn
0.3753 0.8059 0.6119 Sn
0.8753 0.1941 0.3881 Sn
0.3753 0.3881 0.1941 Sn
0.8753 0.6119 0.8059 Sn
0.8753 0.1941 0.8059 Sn
0.8975 0.8753 0.1247 Pm
0.6717 0.5258 0.4742 Pm
0.0744 0.6667 0.3333 Pm
0.1717 0.4742 0.5258 Pm
0.5744 0.3333 0.6667 Pm
0.1717 0.0516 0.5258 Pm
0.3975 0.1247 0.2495 Pm
0.8975 0.2495 0.1247 Pm
0.8975 0.8753 0.7505 Pm
0.6717 0.5258 0.0516 Pm
0.6717 0.9484 0.4742 Pm
0.1717 0.4742 0.9484 Pm
0.3975 0.1247 0.8753 Pm
0.3975 0.7505 0.8753 Pm